(1)
# LaTb5Er7 PBE relaxed
data_LaTb5Er7
_cell_length_a 6.661
_cell_length_b 11.093
_cell_length_c 11.555
_cell_angle_alpha 90.00
_cell_angle_beta 90.00
_cell_angle_gamma 90.00
_space_group_name_H-M_alt 'I m m 2'
_space_group_IT_number 44
loop_
_space_group_symop_operation_xyz
'x,y,z'
'-x,-y,z'
'-x,y,z'
'x,-y,z'
'x+1/2,y+1/2,z+1/2'
'-x+1/2,-y+1/2,z+1/2'
'-x+1/2,y+1/2,z+1/2'
'x+1/2,-y+1/2,z+1/2'
loop_
_atom_site_label
_atom_site_type_symbol
_atom_site_fract_x
_atom_site_fract_y
_atom_site_fract_z
_atom_site_occupancy
La1 La 0.000 0.000 0.000 1
Tb1 Tb 0.000 0.500 0.800 1
Tb2 Tb 0.234 0.231 0.796 1
Er1 Er 0.000 0.000 0.302 1
Er2 Er 0.000 0.000 0.607 1
Er3 Er 0.000 0.331 0.547 1
Er4 Er 0.000 0.333 0.048 1
Er5 Er 0.000 0.500 0.294 1
# calculated formation energy: 0.25 eV per atom
# raw total energy: -113.63 eV/cell
# Fermi-level density of states: 1.751 states/eV/atom
# magnetization: 0.000 μB per atom

(2)
# La2Tb3Er3 PBE relaxed
data_La2Tb3Er3
_cell_length_a 5.096
_cell_length_b 5.099
_cell_length_c 20.129
_cell_angle_alpha 90.00
_cell_angle_beta 90.00
_cell_angle_gamma 90.00
_space_group_name_H-M_alt 'I m m m'
_space_group_IT_number 71
_space_group_name_Hall '-I 2 2'
loop_
_atom_site_label
_atom_site_type_symbol
_atom_site_fract_x
_atom_site_fract_y
_atom_site_fract_z
_atom_site_occupancy
La1 La 0.000 0.000 0.250 1
Tb1 Tb 0.000 0.000 0.000 1
Tb2 Tb 0.000 0.500 0.122 1
Er1 Er 0.000 0.000 0.500 1
Er2 Er 0.000 0.500 0.379 1
# calculated formation energy: 0.03 eV per atom
# raw total energy: -74.39 eV/cell
# Fermi-level density of states: 1.588 states/eV/atom
# magnetization: 0.000 μB per atom

(3)
# La10Tb4Er PBE relaxed
data_La10Tb4Er
_cell_length_a 12.479
_cell_length_b 12.479
_cell_length_c 7.949
_cell_angle_alpha 90.00
_cell_angle_beta 90.00
_cell_angle_gamma 90.00
_space_group_name_H-M_alt 'I 4/m'
_space_group_IT_number 87
_space_group_name_Hall '-I 4'
loop_
_atom_site_label
_atom_site_type_symbol
_atom_site_fract_x
_atom_site_fract_y
_atom_site_fract_z
_atom_site_occupancy
La1 La 0.000 0.500 0.250 1
La2 La 0.099 0.800 0.249 1
Tb1 Tb 0.100 0.300 0.500 1
Er1 Er 0.000 0.000 0.000 1
# calculated formation energy: 0.64 eV per atom
# raw total energy: -125.63 eV/cell
# Fermi-level density of states: 1.762 states/eV/atom
# magnetization: 0.000 μB per atom

(4)
# LaTb8Er2 PBE relaxed
data_LaTb8Er2
_cell_length_a 9.046
_cell_length_b 16.503
_cell_length_c 5.913
_cell_angle_alpha 90.00
_cell_angle_beta 125.01
_cell_angle_gamma 90.00
_space_group_name_H-M_alt 'C 1 2/m 1'
_space_group_IT_number 12
loop_
_space_group_symop_operation_xyz
'x,y,z'
'-x,-y,-z'
'-x,y,-z'
'x,-y,z'
'x+1/2,y+1/2,z'
'-x+1/2,-y+1/2,-z'
'-x+1/2,y+1/2,-z'
'x+1/2,-y+1/2,z'
loop_
_atom_site_label
_atom_site_type_symbol
_atom_site_fract_x
_atom_site_fract_y
_atom_site_fract_z
_atom_site_occupancy
La1 La 0.000 0.000 0.000 1
Tb1 Tb 0.000 0.205 0.000 1
Tb2 Tb 0.065 0.500 0.791 1
Tb3 Tb 0.222 0.123 0.691 1
Er1 Er 0.000 0.310 0.500 1
# calculated formation energy: 0.15 eV per atom
# raw total energy: -98.83 eV/cell
# ΔE to the lowest computed polymorph: 3.19 kJ per mole of atoms
# Fermi-level density of states: 1.588 states/eV/atom
# magnetization: 0.000 μB per atom

(5)
# LaTbEr2 PBE relaxed
data_LaTbEr2
_cell_length_a 10.172
_cell_length_b 5.078
_cell_length_c 10.055
_cell_angle_alpha 90.00
_cell_angle_beta 90.00
_cell_angle_gamma 90.00
_space_group_name_H-M_alt 'P n m a'
_space_group_IT_number 62
loop_
_space_group_symop_operation_xyz
'x,y,z'
'-x,-y,-z'
'-x+1/2,-y,z+1/2'
'x+1/2,y,-z+1/2'
'x+1/2,-y+1/2,-z+1/2'
'-x+1/2,y+1/2,z+1/2'
'-x,y+1/2,-z'
'x,-y+1/2,z'
loop_
_atom_site_label
_atom_site_type_symbol
_atom_site_fract_x
_atom_site_fract_y
_atom_site_fract_z
_atom_site_occupancy
La1 La 0.127 0.250 0.000 1
Tb1 Tb 0.125 0.750 0.253 1
Er1 Er 0.121 0.250 0.500 1
Er2 Er 0.125 0.750 0.748 1
# calculated formation energy: 0.03 eV per atom
# raw total energy: -74.25 eV/cell
# ΔE to the lowest computed polymorph: 1.67 kJ per mole of atoms
# Fermi-level density of states: 1.590 states/eV/atom
# magnetization: 0.000 μB per atom

(6)
# La3TbEr5 PBE relaxed
data_La3TbEr5
_cell_length_a 8.702
_cell_length_b 8.702
_cell_length_c 15.727
_cell_angle_alpha 90.00
_cell_angle_beta 90.00
_cell_angle_gamma 90.00
_space_group_name_H-M_alt 'I 4/m c m'
_space_group_IT_number 140
_space_group_name_Hall '-I 4 2c'
loop_
_atom_site_label
_atom_site_type_symbol
_atom_site_fract_x
_atom_site_fract_y
_atom_site_fract_z
_atom_site_occupancy
La1 La 0.000 0.000 0.250 1
La2 La 0.117 0.383 0.000 1
Tb1 Tb 0.000 0.500 0.250 1
Er1 Er 0.000 0.000 0.000 1
Er2 Er 0.214 0.286 0.360 1
# calculated formation energy: 0.25 eV per atom
# raw total energy: -159.94 eV/cell
# Fermi-level density of states: 1.264 states/eV/atom
# magnetization: 0.000 μB per atom

(7)
# La2Tb5Er2 PBE relaxed
data_La2Tb5Er2
_cell_length_a 21.883
_cell_length_b 3.502
_cell_length_c 8.281
_cell_angle_alpha 90.00
_cell_angle_beta 100.25
_cell_angle_gamma 90.00
_space_group_name_H-M_alt 'C 1 2/m 1'
_space_group_IT_number 12
loop_
_space_group_symop_operation_xyz
'x,y,z'
'-x,-y,-z'
'-x,y,-z'
'x,-y,z'
'x+1/2,y+1/2,z'
'-x+1/2,-y+1/2,-z'
'-x+1/2,y+1/2,-z'
'x+1/2,-y+1/2,z'
loop_
_atom_site_label
_atom_site_type_symbol
_atom_site_fract_x
_atom_site_fract_y
_atom_site_fract_z
_atom_site_occupancy
La1 La 0.179 0.000 0.144 1
Tb1 Tb 0.000 0.000 0.000 1
Tb2 Tb 0.094 0.000 0.732 1
Tb3 Tb 0.191 0.500 0.536 1
Er1 Er 0.047 0.500 0.358 1
# calculated formation energy: 0.21 eV per atom
# raw total energy: -80.49 eV/cell
# ΔE to the lowest computed polymorph: 0.34 kJ per mole of atoms
# Fermi-level density of states: 1.487 states/eV/atom
# magnetization: 0.000 μB per atom

(8)
# LaTb3Er PBE relaxed
data_LaTb3Er
_cell_length_a 6.304
_cell_length_b 6.795
_cell_length_c 9.304
_cell_angle_alpha 71.93
_cell_angle_beta 89.98
_cell_angle_gamma 62.45
_space_group_name_H-M_alt 'P -1'
_space_group_IT_number 2
loop_
_space_group_symop_operation_xyz
'x,y,z'
'-x,-y,-z'
loop_
_atom_site_label
_atom_site_type_symbol
_atom_site_fract_x
_atom_site_fract_y
_atom_site_fract_z
_atom_site_occupancy
La1 La 0.129 0.398 0.347 1
Tb1 Tb 0.069 0.196 0.047 1
Tb2 Tb 0.267 0.798 0.447 1
Tb3 Tb 0.335 0.995 0.752 1
Er1 Er 0.466 0.398 0.854 1
# calculated formation energy: 0.02 eV per atom
# raw total energy: -46.55 eV/cell
# ΔE to the lowest computed polymorph: 0.00 kJ per mole of atoms
# Fermi-level density of states: 1.706 states/eV/atom
# magnetization: 0.000 μB per atom